[1]
# PBE-GGA NdSm2Ti, relaxed
# DFT total energy in eV per atom: -5.070
# Crystal system: trigonal
# Symmetry: R-3m, No. 166
# ΔE_f in meV per atom: 455
# V in Å³/cell: 121.2
# Total magnetization in Bohr magnetons per cell: 1.95
data_NdSm2Ti
_cell_length_a 3.409
_cell_length_b 3.409
_cell_length_c 12.195
_cell_angle_alpha 81.96
_cell_angle_beta 81.96
_cell_angle_gamma 60.00
_space_group_name_H-M_alt 'P 1'
_space_group_IT_number 1
loop_
_space_group_symop_operation_xyz
'x,y,z'
loop_
_atom_site_label
_atom_site_type_symbol
_atom_site_fract_x
_atom_site_fract_y
_atom_site_fract_z
Sm1 Sm 0.082 0.082 0.753
Nd1 Nd 0.500 0.500 0.500
Sm2 Sm 0.918 0.918 0.247
Ti1 Ti 0.000 0.000 0.000

***

[2]
# PBE-GGA NdSmTi, relaxed
# DFT total energy in eV per atom: -5.671
# Crystal system: tetragonal
# Symmetry: P4/nmm, No. 129
# ΔE_f in meV per atom: 123
# V in Å³/cell: 172.1
# Total magnetization in Bohr magnetons per cell: 0.00
data_NdSmTi
_cell_length_a 3.623
_cell_length_b 3.623
_cell_length_c 13.112
_cell_angle_alpha 90.00
_cell_angle_beta 90.00
_cell_angle_gamma 90.00
_space_group_name_H-M_alt 'P 1'
_space_group_IT_number 1
loop_
_space_group_symop_operation_xyz
'x,y,z'
loop_
_atom_site_label
_atom_site_type_symbol
_atom_site_fract_x
_atom_site_fract_y
_atom_site_fract_z
Ti1 Ti 0.000 0.500 0.959
Nd1 Nd 0.000 0.500 0.599
Sm1 Sm 0.500 0.000 0.806
Ti2 Ti 0.500 0.000 0.041
Nd2 Nd 0.500 0.000 0.401
Sm2 Sm 0.000 0.500 0.194